1.
10
Lattice="7.358 0.000 0.000 0.000 7.358 0.000 0.000 0.000 2.905" Properties=species:S:1:pos:R:3 comment="GGA-PBE ZrMn2Ge2, relaxed" ef_ev_per_atom=-0.19 crystal_system=tetragonal pbc="T T T"
Zr 3.679 3.679 0.000
Zr 0.000 0.000 0.000
Mn 2.634 1.045 1.452
Mn 6.313 2.634 1.452
Mn 1.045 4.724 1.452
Mn 4.724 6.313 1.452
Ge 4.777 1.098 0.000
Ge 2.581 6.260 0.000
Ge 6.260 4.777 0.000
Ge 1.098 2.581 0.000



2.
14
Lattice="7.527 0.000 0.002 0.000 6.455 0.000 -2.949 0.000 9.940" Properties=species:S:1:pos:R:3 comment="GGA-PBE CsNaTaSe4, relaxed" crystal_system=monoclinic formation_energy_uncorrected_ev_per_atom=-0.862 pbc="T T T"
Na 4.338 4.841 4.454
Na 0.241 1.614 5.488
Ta 3.776 1.614 6.589
Ta 0.802 4.841 3.353
Se 3.222 1.614 4.280
Se 1.851 1.614 8.039
Se 2.727 4.841 1.903
Se 1.357 4.841 5.662
Se 5.392 3.359 7.165
Se -0.813 3.096 2.777
Se -0.813 0.132 2.777
Se 5.392 6.323 7.165
Cs 2.704 4.841 9.445
Cs 1.875 1.614 0.496



3.
5
Lattice="-0.301 0.014 4.959 -3.485 -3.535 -0.202 2.815 -2.785 0.179" Properties=species:S:1:pos:R:3 comment="GGA-PBE AgTe2NF, relaxed" crystal_system=tetragonal formation_energy_uncorrected_ev_per_atom=1.078 pbc="T T T"
Te -1.742 -1.768 -0.101
Te -0.150 0.007 2.479
F 0.000 0.000 0.000
Ag -0.485 -3.153 2.468
N 1.408 -1.393 0.089



4.
9
Lattice="5.445 -0.191 0.442 0.438 5.822 2.064 -0.091 0.265 6.186" Properties=species:S:1:pos:R:3 comment="GGA-PBE AcGa2Au6, relaxed" ef_ev_per_atom=-0.38 crystal_system=monoclinic pbc="T T T"
Au 4.428 5.560 5.553
Au 4.201 3.172 7.325
Au 2.778 1.711 5.264
Au 1.591 2.725 1.367
Au 3.013 4.186 3.428
Au 1.363 0.337 3.139
Ga 0.790 3.697 5.085
Ga 5.001 2.200 3.607
Ac 0.000 0.000 0.000



5.
6
Lattice="4.990 0.000 0.000 -2.495 4.322 0.000 0.000 0.000 6.100" Properties=species:S:1:pos:R:3 comment="GGA-PBE Pm2NdRh3, relaxed" ef_ev_per_atom=-0.67 crystal_system=trigonal pbc="T T T"
Pm 2.495 1.441 2.037
Pm 0.000 2.881 4.063
Rh 0.000 0.000 3.050
Rh 0.000 2.881 1.028
Rh 2.495 1.441 5.072
Nd 0.000 0.000 0.000



6.
18
Lattice="4.863 0.000 0.000 0.000 10.120 0.000 0.000 0.000 10.120" Properties=species:S:1:pos:R:3 comment="GGA-PBE CaBi4Au4, relaxed" ef_ev_per_atom=-0.25 crystal_system=tetragonal pbc="T T T"
Bi 4.859 1.453 6.660
Bi 2.428 1.601 3.607
Bi 0.003 3.459 1.453
Bi 4.859 8.666 3.459
Bi 0.003 6.660 8.666
Bi 2.428 8.519 6.513
Bi 2.435 6.513 1.601
Bi 2.435 3.607 8.519
Au 0.004 5.806 3.166
Au 2.435 8.226 9.374
Au 2.435 1.894 0.746
Au 0.004 4.314 6.954
Au 2.428 0.746 8.226
Au 4.859 3.166 4.314
Au 4.859 6.954 5.806
Au 2.428 9.374 1.894
Ca 0.000 0.000 0.000
Ca 2.431 5.060 5.060



7.
14
Lattice="-4.135 6.179 0.727 -4.629 -3.639 4.598 4.157 2.095 5.843" Properties=species:S:1:pos:R:3 comment="GGA-PBE TmCd3Ag3, relaxed" ef_ev_per_atom=0.53 crystal_system=cubic pbc="T T T"
Tm -2.304 2.317 5.584
Tm 0.000 0.000 0.000
Ag 1.050 4.660 4.745
Ag -5.416 2.815 2.844
Ag 0.921 0.138 4.071
Ag -1.393 -1.682 6.370
Ag -1.028 3.613 1.824
Ag -3.348 -0.275 2.481
Cd -3.225 2.180 1.513
Cd 1.045 2.592 3.103
Cd 0.803 -0.248 6.681
Cd -1.023 5.681 3.467
Cd -5.539 0.360 3.812
Cd -1.275 -1.296 3.760



8.
5
Lattice="-0.662 -3.753 0.212 0.913 -0.370 -3.688 4.236 -0.684 1.117" Properties=species:S:1:pos:R:3 comment="GGA-PBE Ti2AlHPd, relaxed" crystal_system=tetragonal pbc="T T T"
Pd 2.244 -2.403 -1.179
Ti 0.456 -0.185 -1.844
Ti -0.331 -1.877 0.106
H 0.000 0.000 0.000
Al 2.118 -0.342 0.558



The E_tot results, record by record, are as follows: -7.413, -4.857, -2.789, -3.692, -6.727, -3.649, -1.724, -6.052 eV/atom.